[1]
RbPu2SnS4 (PBE, relaxed); density = 5.8 g cm⁻³; final energy = -0.2731 Ha/atom
1.0
4.0974 0.0000 0.0000
-2.0487 7.0416 0.0000
0.0000 0.0000 16.4232
Rb Pu Sn S
2 4 2 8
direct
0.0817 0.1633 0.7500 Rb
0.9183 0.8367 0.2500 Rb
0.3682 0.7363 0.5451 Pu
0.6318 0.2637 0.0451 Pu
0.6318 0.2637 0.4549 Pu
0.3682 0.7363 0.9549 Pu
0.7890 0.5780 0.7500 Sn
0.2110 0.4220 0.2500 Sn
0.2532 0.5063 0.0862 S
0.7468 0.4937 0.5862 S
0.7468 0.4937 0.9138 S
0.2532 0.5063 0.4138 S
0.0000 0.0000 0.5000 S
0.0000 0.0000 0.0000 S
0.4060 0.8119 0.7500 S
0.5940 0.1881 0.2500 S



[2]
Rb2Pu2SnS6 (PBE, relaxed); density = 4.8 g cm⁻³; final energy = -0.2445 Ha/atom
1.0
7.1028 -0.0476 0.1032
-3.5520 6.1510 0.1032
-1.2202 -2.0973 7.6677
Rb Pu Sn S
2 2 1 6
direct
0.8397 0.1603 0.0000 Rb
0.1603 0.8397 0.0000 Rb
0.3343 0.6657 0.5000 Pu
0.6657 0.3343 0.5000 Pu
0.0000 0.0000 0.5000 Sn
0.7056 0.7056 0.6849 S
0.0543 0.4095 0.6833 S
0.2944 0.2944 0.3151 S
0.4095 0.0543 0.6833 S
0.9457 0.5905 0.3167 S
0.5905 0.9457 0.3167 S



[3]
Rb2Pu2TaS6 (PBE, relaxed); density = 5.5 g cm⁻³; final energy = -0.2759 Ha/atom
1.0
6.7351 0.0123 0.0481
-3.3182 5.8610 0.0481
-1.2255 -2.1065 7.8256
Rb Pu Ta S
2 2 1 6
direct
0.8290 0.1710 0.0000 Rb
0.1710 0.8290 0.0000 Rb
0.3335 0.6665 0.5000 Pu
0.6665 0.3335 0.5000 Pu
0.0000 0.0000 0.5000 Ta
0.7589 0.7589 0.6837 S
0.0642 0.3705 0.6843 S
0.2411 0.2411 0.3163 S
0.3705 0.0642 0.6843 S
0.9358 0.6295 0.3157 S
0.6295 0.9358 0.3157 S



[4]
Rb3Tb2PuS6 (PBE, relaxed); density = 4.9 g cm⁻³; final energy = -0.2209 Ha/atom
1.0
7.1473 -0.0001 -0.0004
-3.5720 6.1907 -0.0004
-1.1928 -2.0653 7.6684
Rb Tb Pu S
3 2 1 6
direct
0.1671 0.8329 0.5000 Rb
0.8329 0.1671 0.5000 Rb
0.5000 0.5000 0.5000 Rb
0.3334 0.6666 0.0000 Tb
0.6666 0.3334 0.0000 Tb
0.0000 0.0000 0.0000 Pu
0.9361 0.6003 0.8081 S
0.7283 0.7283 0.1922 S
0.0639 0.3997 0.1920 S
0.6003 0.9361 0.8081 S
0.2717 0.2717 0.8078 S
0.3997 0.0639 0.1920 S



[5]
Rb2Tb2PuS6 (PBE, relaxed); density = 4.6 g cm⁻³; final energy = -0.2319 Ha/atom
1.0
6.9887 -0.0166 0.0590
-3.4686 6.0672 0.0590
-1.2590 -2.1641 7.8226
Rb Tb Pu S
2 2 1 6
direct
0.8311 0.1689 0.0000 Rb
0.1689 0.8311 0.0000 Rb
0.3337 0.6663 0.5000 Tb
0.6663 0.3337 0.5000 Tb
0.0000 0.0000 0.5000 Pu
0.7392 0.7392 0.6857 S
0.0613 0.3890 0.6860 S
0.2608 0.2608 0.3143 S
0.3890 0.0613 0.6860 S
0.9387 0.6110 0.3140 S
0.6110 0.9387 0.3140 S



[6]
Rb3TbPu2S6 (PBE, relaxed); density = 5.4 g cm⁻³; final energy = -0.2473 Ha/atom
1.0
7.1545 -0.0010 0.0003
-3.5764 6.1965 0.0003
-1.1929 -2.0656 7.6652
Rb Tb Pu S
3 1 2 6
direct
0.1665 0.8335 0.5000 Rb
0.8335 0.1665 0.5000 Rb
0.5000 0.5000 0.5000 Rb
0.0000 0.0000 0.0000 Tb
0.3333 0.6667 0.0000 Pu
0.6667 0.3333 0.0000 Pu
0.9362 0.6033 0.8087 S
0.7308 0.7308 0.1912 S
0.0638 0.3967 0.1913 S
0.6033 0.9362 0.8087 S
0.2692 0.2692 0.8088 S
0.3967 0.0638 0.1913 S



[7]
RbTb4PuS8 (PBE, relaxed); density = 5.0 g cm⁻³; final energy = -0.2421 Ha/atom
1.0
8.2948 0.0000 0.0000
4.1474 7.1835 0.0000
4.1474 2.3945 6.8417
Rb Tb Pu S
1 4 1 8
direct
0.3753 0.3753 0.8742 Rb
0.6256 0.6256 0.1233 Tb
0.0048 0.4881 0.5023 Tb
0.4881 0.0048 0.5023 Tb
0.0048 0.0048 0.5023 Tb
0.0032 0.0032 0.9903 Pu
0.2308 0.8093 0.7291 S
0.8093 0.2308 0.7291 S
0.2308 0.2308 0.7291 S
0.2317 0.2317 0.3049 S
0.7543 0.2297 0.2617 S
0.2297 0.7543 0.2617 S
0.7543 0.7543 0.2617 S
0.7573 0.7573 0.7281 S



[8]
Rb2Pu2Te2S (PBE, relaxed); density = 6.0 g cm⁻³; final energy = -0.2560 Ha/atom
1.0
5.3581 0.0000 0.0000
0.0000 5.3581 0.0000
-2.6790 -2.6790 9.1620
Rb Pu Te S
2 2 2 1
direct
0.1810 0.1810 0.3621 Rb
0.8190 0.8190 0.6379 Rb
0.0000 0.5000 0.0000 Pu
0.5000 0.0000 0.0000 Pu
0.3873 0.3873 0.7746 Te
0.6127 0.6127 0.2254 Te
0.0000 0.0000 0.0000 S



> What is the density in the seventh record?

5.0 g cm⁻³



> The lowest final energy belongs to which entry?

Rb2Pu2TaS6